#A
This record from Alexandria via LeMat-Bulk describes a geometry-optimized BaTlInHg2 structure. The functional is PBE-GGA.

Calculated volume: 31.2 Å³ per atom
D(E_F): 0.63 states/eV/atom

a = 4.9346 Å, b = 4.9346 Å, c = 12.8142 Å
α = 90.00°, β = 90.00°, γ = 90.00°
With the nearest neighbours (Å) after each atom.
Space group I-4m2 (No. 119)
Symmetry-distinct sites (fractional):
Ba  0.0000  0.0000  0.0000 (multiplicity 2)  8 Hg 3.77, 4 In 4.04, 4 Tl 4.04
Tl  0.0000  0.5000  0.7500 (multiplicity 2)  4 Hg 3.03
In  0.0000  0.5000  0.2500 (multiplicity 2)  4 Hg 3.03
Hg  0.0000  0.0000  0.3879 (multiplicity 4)  1 Hg 2.87, 2 Tl 3.03, 2 In 3.03

=====

#B
This record from Alexandria via LeMat-Bulk describes a geometry-optimized BaTlInHg2 structure. The functional is PBE-GGA.

Calculated volume: 92.1 Å³ per atom
D(E_F): 1.75 states/eV/atom

a = 7.5339 Å, b = 7.5339 Å, c = 8.1098 Å
α = 90.00°, β = 90.00°, γ = 90.00°
With the nearest neighbours (Å) after each atom.
Space group P4/mmm (No. 123)
Symmetry-distinct sites (fractional):
Ba  0.0000  0.0000  0.0000 (multiplicity 1)  4 Hg 3.77, 2 In 4.05
Tl  0.5000  0.5000  0.5000 (multiplicity 1)  4 In 5.33, 8 Hg 5.53
In  0.0000  0.0000  0.5000 (multiplicity 1)  2 Ba 4.05
Hg  0.0000  0.5000  0.0000 (multiplicity 2)  2 Ba 3.77

=====

Result of the stability comparison: #A is the most stable of them.

=====

#A
This record from Alexandria via LeMat-Bulk describes a geometry-optimized BaZn2InHg structure. The functional is PBE-GGA.

Calculated volume: 47.5 Å³ per atom
D(E_F): 1.68 states/eV/atom

a = 6.1063 Å, b = 6.1063 Å, c = 6.3712 Å
α = 90.00°, β = 90.00°, γ = 90.00°
With the nearest neighbours (Å) after each atom.
Space group P4/mmm (No. 123)
Symmetry-distinct sites (fractional):
Ba  0.0000  0.0000  0.0000 (multiplicity 1)  4 Zn 3.05, 2 Hg 3.19
Zn  0.0000  0.5000  0.0000 (multiplicity 2)  2 Ba 3.05
In  0.5000  0.5000  0.5000 (multiplicity 1)  4 Hg 4.32, 8 Zn 4.41
Hg  0.0000  0.0000  0.5000 (multiplicity 1)  2 Ba 3.19

=====

#B
This record from Alexandria via LeMat-Bulk describes a geometry-optimized BaZn2InHg structure. The functional is PBE-GGA.

Calculated volume: 72.1 Å³ per atom
D(E_F): 1.44 states/eV/atom

a = 6.9005 Å, b = 6.9005 Å, c = 7.5695 Å
α = 90.00°, β = 90.00°, γ = 90.00°
With the nearest neighbours (Å) after each atom.
Space group P4/mmm (No. 123)
Symmetry-distinct sites (fractional):
Ba  0.0000  0.0000  0.0000 (multiplicity 1)  4 Zn 3.45, 2 In 3.78
Zn  0.0000  0.5000  0.0000 (multiplicity 2)  2 Ba 3.45
In  0.0000  0.0000  0.5000 (multiplicity 1)  2 Ba 3.78
Hg  0.5000  0.5000  0.5000 (multiplicity 1)  4 In 4.88, 8 Zn 5.12

=====

Result of the stability comparison: #A is the most stable of them.

=====

#A
This record from Alexandria via LeMat-Bulk describes a geometry-optimized Ba6HgIr2 structure. The functional is PBE-GGA.

Calculated volume: 48.3 Å³ per atom
D(E_F): 0.73 states/eV/atom

a = 15.4901 Å, b = 6.0924 Å, c = 10.6504 Å
α = 90.00°, β = 120.05°, γ = 90.00°
With the nearest neighbours (Å) after each atom.
Space group C2/m (No. 12)
Symmetry-distinct sites (fractional):
Ba  0.0237  0.0000  0.1974 (multiplicity 4)  2 Ir 3.02-3.13
Ba  0.1568  0.5000  0.5990 (multiplicity 4)  1 Ir 2.95
Ba  0.2061  0.5000  0.0821 (multiplicity 4)  3 Ir 3.10-3.25
Hg  0.0000  0.0000  0.5000 (multiplicity 2)  6 Ba 3.42-3.70
Ir  0.1761  0.0000  0.0992 (multiplicity 4)  6 Ba 2.95-3.25

=====

#B
This record from Alexandria via LeMat-Bulk describes a geometry-optimized Ba6HgIr2 structure. The functional is PBE-GGA.

Calculated volume: 47.4 Å³ per atom
D(E_F): 0.70 states/eV/atom

a = 7.9868 Å, b = 7.9868 Å, c = 7.7281 Å
α = 90.00°, β = 90.00°, γ = 120.00°
With the nearest neighbours (Å) after each atom.
Space group P-31m (No. 162)
Symmetry-distinct sites (fractional):
Ba  0.0000  0.3578  0.2213 (multiplicity 6)  2 Ir 3.09
Hg  0.0000  0.0000  0.5000 (multiplicity 1)  6 Ba 3.58
Ir  0.3333  0.6667  0.0000 (multiplicity 2)  6 Ba 3.09

=====

Result of the stability comparison: #B is the most stable of them.

=====

#A
This record from Alexandria via LeMat-Bulk describes a geometry-optimized Ba4HgIr structure. The functional is PBE-GGA.

Calculated volume: 46.2 Å³ per atom
D(E_F): 0.79 states/eV/atom

a = 10.3869 Å, b = 16.9044 Å, c = 7.8536 Å
α = 90.00°, β = 126.51°, γ = 90.00°
With the nearest neighbours (Å) after each atom.
Space group C2/c (No. 15)
Symmetry-distinct sites (fractional):
Ba  0.1535  0.2066  0.1590 (multiplicity 8)  1 Ir 2.99
Ba  0.2333  0.0380  0.7260 (multiplicity 8)  2 Ir 3.10-3.24
Hg  0.0000  0.3733  0.7500 (multiplicity 4)  8 Ba 3.50-3.85
Ir  0.0000  0.0809  0.2500 (multiplicity 4)  6 Ba 2.99-3.24

=====

#B
This record from Alexandria via LeMat-Bulk describes a geometry-optimized Ba4HgIr structure. The functional is PBE-GGA.

Calculated volume: 45.3 Å³ per atom
D(E_F): 0.55 states/eV/atom

a = 17.6606 Å, b = 7.7742 Å, c = 8.3170 Å
α = 90.00°, β = 107.91°, γ = 90.00°
With the nearest neighbours (Å) after each atom.
Space group C2/c (No. 15)
Symmetry-distinct sites (fractional):
Ba  0.1023  0.0734  0.4840 (multiplicity 8)  1 Ir 2.91
Ba  0.1695  0.4462  0.1551 (multiplicity 8)  2 Ir 3.17-3.22
Hg  0.0000  0.3021  0.7500 (multiplicity 4)  8 Ba 3.66-3.92
Ir  0.2500  0.2500  0.5000 (multiplicity 4)  6 Ba 2.91-3.22

=====

#C
This record from Alexandria via LeMat-Bulk describes a geometry-optimized Ba4HgIr structure. The functional is PBE-GGA.

Calculated volume: 37.8 Å³ per atom
D(E_F): 0.91 states/eV/atom

a = 9.6828 Å, b = 9.6828 Å, c = 9.6828 Å
α = 90.00°, β = 90.00°, γ = 90.00°
With the nearest neighbours (Å) after each atom.
Space group F-43m (No. 216)
Symmetry-distinct sites (fractional):
Ba  0.1240  0.1240  0.3760 (multiplicity 16)  6 Ba 3.40-3.45
Hg  0.0000  0.0000  0.0000 (multiplicity 4)  12 Ba 4.02, 4 Ir 4.19
Ir  0.2500  0.2500  0.7500 (multiplicity 4)  12 Ba 4.01, 4 Hg 4.19

=====

Result of the stability comparison: #A is the most stable of them.

=====

#A
This record from Alexandria via LeMat-Bulk describes a geometry-optimized Ba2HgPIr structure. The functional is PBE-GGA.

Calculated volume: 34.6 Å³ per atom
D(E_F): 0.79 states/eV/atom

a = 6.2360 Å, b = 6.2360 Å, c = 4.4499 Å
α = 90.00°, β = 90.00°, γ = 90.00°
With the nearest neighbours (Å) after each atom.
Space group P4/mmm (No. 123)
Symmetry-distinct sites (fractional):
Ba  0.0000  0.5000  0.0000 (multiplicity 2)  2 Ir 3.12
Hg  0.0000  0.0000  0.5000 (multiplicity 1)  8 Ba 3.83
P  0.5000  0.5000  0.5000 (multiplicity 1)  2 Ir 2.22
Ir  0.5000  0.5000  0.0000 (multiplicity 1)  2 P 2.22

=====

#B
This record from Alexandria via LeMat-Bulk describes a geometry-optimized Ba2HgPIr structure. The functional is PBE-GGA.

Calculated volume: 33.9 Å³ per atom
D(E_F): 0.36 states/eV/atom

a = 6.2298 Å, b = 6.2298 Å, c = 4.3636 Å
α = 90.00°, β = 90.00°, γ = 90.00°
With the nearest neighbours (Å) after each atom.
Space group P4/mmm (No. 123)
Symmetry-distinct sites (fractional):
Ba  0.0000  0.5000  0.0000 (multiplicity 2)  2 P 3.11
Hg  0.0000  0.0000  0.5000 (multiplicity 1)  8 Ba 3.80
P  0.5000  0.5000  0.0000 (multiplicity 1)  2 Ir 2.18
Ir  0.5000  0.5000  0.5000 (multiplicity 1)  2 P 2.18

=====

Result of the stability comparison: #B is the most stable of them.

=====

#A
This record from Alexandria via LeMat-Bulk describes a geometry-optimized Ba2TlHgIr structure. The functional is PBE-GGA.

Calculated volume: 38.8 Å³ per atom
D(E_F): 0.90 states/eV/atom

a = 6.0263 Å, b = 6.0263 Å, c = 5.3366 Å
α = 90.00°, β = 90.00°, γ = 90.00°
With the nearest neighbours (Å) after each atom.
Space group P4/mmm (No. 123)
Symmetry-distinct sites (fractional):
Ba  0.0000  0.5000  0.0000 (multiplicity 2)  2 Ir 3.01
Tl  0.0000  0.0000  0.5000 (multiplicity 1)  8 Ba 4.02, 4 Hg 4.26
Hg  0.5000  0.5000  0.5000 (multiplicity 1)  2 Ir 2.67
Ir  0.5000  0.5000  0.0000 (multiplicity 1)  2 Hg 2.67

=====

#B
This record from Alexandria via LeMat-Bulk describes a geometry-optimized Ba2TlHgIr structure. The functional is PBE-GGA.

Calculated volume: 39.0 Å³ per atom
D(E_F): 0.58 states/eV/atom

a = 6.0776 Å, b = 6.0776 Å, c = 5.2853 Å
α = 90.00°, β = 90.00°, γ = 90.00°
With the nearest neighbours (Å) after each atom.
Space group P4/mmm (No. 123)
Symmetry-distinct sites (fractional):
Ba  0.0000  0.5000  0.0000 (multiplicity 2)  2 Ir 3.04
Tl  0.0000  0.0000  0.5000 (multiplicity 1)  2 Ir 2.64
Hg  0.5000  0.5000  0.5000 (multiplicity 1)  8 Ba 4.03, 4 Tl 4.30
Ir  0.0000  0.0000  0.0000 (multiplicity 1)  2 Tl 2.64

=====

Result of the stability comparison: #B is the most stable of them.

=====

#A
This record from Alexandria via LeMat-Bulk describes a geometry-optimized KBaHg6 structure. The functional is PBE-GGA.

Calculated volume: 30.7 Å³ per atom
D(E_F): 0.61 states/eV/atom

a = 5.4934 Å, b = 7.1922 Å, c = 6.2179 Å
α = 90.00°, β = 90.00°, γ = 90.00°
With the nearest neighbours (Å) after each atom.
Space group Pmm2 (No. 25)
Symmetry-distinct sites (fractional):
K  0.0000  0.0000  0.0000 (multiplicity 1)  12 Hg 3.48-3.64
Ba  0.5000  0.5000  0.7189 (multiplicity 1)  12 Hg 3.53-3.67
Hg  0.0000  0.2375  0.5121 (multiplicity 2)  6 Hg 3.24-3.42, 2 K 3.48-3.61, 2 Ba 3.57
Hg  0.0000  0.5000  0.0885 (multiplicity 1)  6 Hg 3.24-3.37, 2 Ba 3.58
Hg  0.5000  0.0000  0.6401 (multiplicity 1)  6 Hg 3.23-3.33, 2 K 3.54
Hg  0.5000  0.2471  0.2064 (multiplicity 2)  6 Hg 3.23-3.55, 2 K 3.51, 1 Ba 3.53

=====

#B
This record from Alexandria via LeMat-Bulk describes a geometry-optimized KBaHg6 structure. The functional is PBE-GGA.

Calculated volume: 31.0 Å³ per atom
D(E_F): 0.48 states/eV/atom

a = 5.4344 Å, b = 7.2686 Å, c = 12.5735 Å
α = 90.00°, β = 90.00°, γ = 90.00°
With the nearest neighbours (Å) after each atom.
Space group Amm2 (No. 38)
Symmetry-distinct sites (fractional):
K  0.0000  0.0000  0.0000 (multiplicity 2)  12 Hg 3.54-3.64
Ba  0.5000  0.0000  0.6678 (multiplicity 2)  12 Hg 3.56-3.64
Hg  0.0000  0.0000  0.4852 (multiplicity 2)  6 Hg 3.29-3.32, 2 Ba 3.56, 2 K 3.64
Hg  0.0000  0.2255  0.2584 (multiplicity 4)  6 Hg 3.28-3.32, 2 Ba 3.56, 2 K 3.63-3.64
Hg  0.5000  0.0000  0.1804 (multiplicity 2)  6 Hg 3.32-3.34, 2 K 3.54, 2 Ba 3.64
Hg  0.5000  0.2286  0.4105 (multiplicity 4)  6 Hg 3.32-3.34, 2 K 3.54, 2 Ba 3.63-3.64

=====

Result of the stability comparison: #B is the most stable of them.

=====

#A
This record from Alexandria via LeMat-Bulk describes a geometry-optimized KBaHg4 structure. The functional is PBE-GGA.

Calculated volume: 31.1 Å³ per atom
D(E_F): 0.76 states/eV/atom

a = 9.0703 Å, b = 9.0703 Å, c = 9.0703 Å
α = 90.00°, β = 90.00°, γ = 90.00°
With the nearest neighbours (Å) after each atom.
Space group F-43m (No. 216)
Symmetry-distinct sites (fractional):
K  0.0000  0.0000  0.0000 (multiplicity 4)  12 Hg 3.76, 4 Ba 3.93
Ba  0.2500  0.2500  0.7500 (multiplicity 4)  12 Hg 3.76, 4 K 3.93
Hg  0.1254  0.1254  0.3746 (multiplicity 16)  6 Hg 3.20-3.22

=====

#B
This record from Alexandria via LeMat-Bulk describes a geometry-optimized KBaHg4 structure. The functional is PBE-GGA.

Calculated volume: 33.3 Å³ per atom
D(E_F): 0.62 states/eV/atom

a = 4.1232 Å, b = 5.2989 Å, c = 9.1383 Å
α = 90.00°, β = 90.00°, γ = 90.00°
With the nearest neighbours (Å) after each atom.
Space group Pmmm (No. 47)
Symmetry-distinct sites (fractional):
K  0.0000  0.0000  0.0000 (multiplicity 1)  12 Hg 3.66-3.68
Ba  0.0000  0.5000  0.5000 (multiplicity 1)  12 Hg 3.69-3.70, 2 Ba 4.12
Hg  0.5000  0.0000  0.3315 (multiplicity 2)  3 Hg 3.06-3.08
Hg  0.5000  0.5000  0.1644 (multiplicity 2)  3 Hg 3.01-3.06

=====

Result of the stability comparison: #B is the most stable of them.